# 1
First-principles (PBE) data for crystalline TbYZr2 at its relaxed geometry, as listed in Alexandria via LeMat-Bulk.

* energy of formation: 124 meV per atom
* offset from the most stable computed form: 0 meV/atom
* D(E_F): 16.3 states/eV/cell

Cell lengths 3.3793, 3.3793, 32.6242 Å; angles 90.00, 90.00, 120.00 degrees
Space group R3m (No. 160, hexagonal axes)
Inequivalent atoms, fractional coordinates:
Tb1 0.0000 0.0000 0.0000 (multiplicity 3)
Y1 0.0000 0.0000 0.8331 (multiplicity 3)
Zr1 0.0000 0.0000 0.4163 (multiplicity 3)
Zr2 0.0000 0.0000 0.5831 (multiplicity 3)

=====

# 2
First-principles (PBE) data for crystalline TiTc3Sb at its relaxed geometry, as listed in Alexandria via LeMat-Bulk.

* offset from the most stable computed form: 473 meV/atom
* D(E_F): 4.9 states/eV/cell
* formation energy (no corrections): 1.677 eV per atom

Cell lengths 4.7692, 4.7692, 4.7692 Å; angles 90.00, 90.00, 90.00 degrees
Space group Pm-3m (No. 221)
Inequivalent atoms, fractional coordinates:
Ti1 0.0000 0.0000 0.0000 (multiplicity 1)
Tc1 0.0000 0.5000 0.5000 (multiplicity 3)
Sb1 0.5000 0.5000 0.5000 (multiplicity 1)

=====

# 3
First-principles (PBE) data for crystalline ZrAu2Br at its relaxed geometry, as listed in Alexandria via LeMat-Bulk.

* offset from the most stable computed form: 369 meV/atom
* D(E_F): 5.8 states/eV/cell
* formation energy (no corrections): -0.085 eV per atom

Cell lengths 4.0518, 4.0518, 9.9124 Å; angles 90.00, 90.00, 90.00 degrees
Space group I4/mmm (No. 139)
Inequivalent atoms, fractional coordinates:
Zr1 0.0000 0.0000 0.0000 (multiplicity 2)
Au1 0.0000 0.5000 0.2500 (multiplicity 4)
Br1 0.0000 0.0000 0.5000 (multiplicity 2)

=====

# 4
First-principles (PBE) data for crystalline CeSmGeIr at its relaxed geometry, as listed in Alexandria via LeMat-Bulk.

* energy of formation: -474 meV per atom
* D(E_F): 11.0 states/eV/cell

Cell lengths 4.1146, 4.1146, 10.8474 Å; angles 90.00, 90.00, 90.00 degrees
Space group P4/nmm (No. 129, origin choice 2)
Inequivalent atoms, fractional coordinates:
Ce1 0.2500 0.7500 0.0000 (multiplicity 2)
Sm1 0.2500 0.2500 0.2874 (multiplicity 2)
Ge1 0.2500 0.2500 0.5582 (multiplicity 2)
Ir1 0.2500 0.2500 0.7911 (multiplicity 2)

=====

# 5
First-principles (PBE) data for crystalline Ca2CuAu at its relaxed geometry, as listed in Alexandria via LeMat-Bulk.

* energy of formation: -182 meV per atom
* D(E_F): 16.4 states/eV/cell

Cell lengths 7.0314, 7.0314, 7.0314 Å; angles 90.00, 90.00, 90.00 degrees
Space group F-43m (No. 216)
Inequivalent atoms, fractional coordinates:
Ca1 0.0000 0.0000 0.0000 (multiplicity 4)
Ca2 0.2500 0.2500 0.2500 (multiplicity 4)
Cu1 0.2500 0.2500 0.7500 (multiplicity 4)
Au1 0.0000 0.0000 0.5000 (multiplicity 4)

=====

# 6
First-principles (PBE) data for crystalline Pr4BiPb2Se at its relaxed geometry, as listed in Alexandria via LeMat-Bulk.

* D(E_F): 4.2 states/eV/cell
* formation energy (no corrections): -0.937 eV per atom

Cell lengths 7.7822, 4.4353, 8.0866 Å; angles 90.00, 108.42, 90.00 degrees
Space group P2/m (No. 10)
Inequivalent atoms, fractional coordinates:
Pr1 0.2380 0.0000 0.2382 (multiplicity 2)
Pr2 0.2446 0.5000 0.7561 (multiplicity 2)
Bi1 0.5000 0.0000 0.0000 (multiplicity 1)
Pb1 0.0000 0.0000 0.5000 (multiplicity 1)
Pb2 0.5000 0.5000 0.5000 (multiplicity 1)
Se1 0.0000 0.5000 0.0000 (multiplicity 1)

=====

# 7
First-principles (PBE) data for crystalline Rb3Pr3SbS8 at its relaxed geometry, as listed in Alexandria via LeMat-Bulk.

* D(E_F): 7.0 states/eV/cell
* formation energy (no corrections): -1.471 eV per atom

Cell lengths 8.3401, 8.3401, 23.5574 Å; angles 90.00, 90.00, 120.00 degrees
Space group R-3m (No. 166, hexagonal axes)
Inequivalent atoms, fractional coordinates:
Rb1 0.0000 0.5000 0.0000 (multiplicity 9)
Pr1 0.0000 0.5000 0.5000 (multiplicity 9)
Sb1 0.0000 0.0000 0.5000 (multiplicity 3)
S1 0.0000 0.0000 0.2325 (multiplicity 6)
S2 0.0223 0.5111 0.2292 (multiplicity 18)

=====

# 8
First-principles (PBE) data for crystalline AgAs3Ir at its relaxed geometry, as listed in Alexandria via LeMat-Bulk.

* energy of formation: 669 meV per atom
* offset from the most stable computed form: 0 meV/atom
* D(E_F): 4.9 states/eV/cell

Cell lengths 4.8718, 4.8718, 4.8718 Å; angles 90.00, 90.00, 90.00 degrees
Space group Pm-3m (No. 221)
Inequivalent atoms, fractional coordinates:
Ag1 0.0000 0.0000 0.0000 (multiplicity 1)
As1 0.0000 0.5000 0.5000 (multiplicity 3)
Ir1 0.5000 0.5000 0.5000 (multiplicity 1)

=====

# 9
First-principles (PBE) data for crystalline CsNpBr6 at its relaxed geometry, as listed in Alexandria via LeMat-Bulk.

* offset from the most stable computed form: 4 meV/atom
* D(E_F): 15.9 states/eV/cell
* formation energy (no corrections): -1.299 eV per atom

Cell lengths 7.6536, 7.6536, 14.0837 Å; angles 90.00, 90.00, 120.00 degrees
Space group P-31c (No. 163)
Inequivalent atoms, fractional coordinates:
Cs1 0.3333 0.6667 0.2500 (multiplicity 2)
Np1 0.0000 0.0000 0.0000 (multiplicity 2)
Br1 0.0846 0.3208 0.6100 (multiplicity 12)

=====

# 10
First-principles (PBE) data for crystalline PuMgGa4 at its relaxed geometry, as listed in Alexandria via LeMat-Bulk.

* energy of formation: -287 meV per atom
* offset from the most stable computed form: 2 meV/atom
* D(E_F): 25.0 states/eV/cell

Cell lengths 4.3906, 6.7272, 8.0138 Å; angles 90.00, 90.00, 90.00 degrees
Space group Imm2 (No. 44)
Inequivalent atoms, fractional coordinates:
Pu1 0.0000 0.0000 0.0000 (multiplicity 2)
Mg1 0.0000 0.5000 0.1005 (multiplicity 2)
Ga1 0.0000 0.1997 0.3711 (multiplicity 4)
Ga2 0.0000 0.2845 0.6944 (multiplicity 4)

=====

# 11
First-principles (PBE) data for crystalline Pr2BeO at its relaxed geometry, as listed in Alexandria via LeMat-Bulk.

* D(E_F): 7.3 states/eV/cell
* formation energy (no corrections): -0.550 eV per atom

Cell lengths 3.6782, 3.6782, 25.6076 Å; angles 90.00, 90.00, 120.00 degrees
Space group R-3m (No. 166, hexagonal axes)
Inequivalent atoms, fractional coordinates:
Pr1 0.0000 0.0000 0.1139 (multiplicity 6)
Be1 0.0000 0.0000 0.0000 (multiplicity 3)
O1 0.0000 0.0000 0.5000 (multiplicity 3)

=====

# 12
First-principles (PBE) data for crystalline ScFeSi2 at its relaxed geometry, as listed in Alexandria via LeMat-Bulk.

* D(E_F): 2.1 states/eV/cell
* formation energy (no corrections): -0.421 eV per atom

Cell lengths 3.0713, 4.0134, 4.8458 Å; angles 90.00, 90.28, 90.00 degrees
Space group P2/m (No. 10)
Inequivalent atoms, fractional coordinates:
Sc1 0.0000 0.0000 0.0000 (multiplicity 1)
Fe1 0.5000 0.0000 0.5000 (multiplicity 1)
Si1 0.4960 0.5000 0.7445 (multiplicity 2)

=====

# 13
First-principles (PBE) data for crystalline LaZn2InCo at its relaxed geometry, as listed in Alexandria via LeMat-Bulk.

* energy of formation: -190 meV per atom
* D(E_F): 4.4 states/eV/cell

Cell lengths 4.6976, 4.6976, 4.8386 Å; angles 90.00, 90.00, 90.00 degrees
Space group P4/mmm (No. 123)
Inequivalent atoms, fractional coordinates:
La1 0.0000 0.0000 0.0000 (multiplicity 1)
Zn1 0.0000 0.5000 0.5000 (multiplicity 2)
In1 0.5000 0.5000 0.0000 (multiplicity 1)
Co1 0.5000 0.5000 0.5000 (multiplicity 1)

=====

# 14
First-principles (PBE) data for crystalline URhS3 at its relaxed geometry, as listed in Alexandria via LeMat-Bulk.

* offset from the most stable computed form: 0 meV/atom
* D(E_F): 29.2 states/eV/cell
* formation energy (no corrections): -1.020 eV per atom

Cell lengths 7.1006, 8.4456, 6.0660 Å; angles 90.00, 90.00, 90.00 degrees
Space group Pnma (No. 62)
Inequivalent atoms, fractional coordinates:
U1 0.1256 0.2500 0.0657 (multiplicity 4)
Rh1 0.0000 0.0000 0.5000 (multiplicity 4)
S1 0.0589 0.7500 0.3327 (multiplicity 4)
S2 0.1785 0.5546 0.8430 (multiplicity 8)

=====

# 15
First-principles (PBE) data for crystalline ScIrRh2 at its relaxed geometry, as listed in Alexandria via LeMat-Bulk.

* energy of formation: -296 meV per atom
* D(E_F): 4.8 states/eV/cell

Cell lengths 2.8445, 4.5768, 4.9722 Å; angles 90.00, 101.14, 90.00 degrees
Space group P2/m (No. 10)
Inequivalent atoms, fractional coordinates:
Sc1 0.0000 0.0000 0.0000 (multiplicity 1)
Ir1 0.5000 0.0000 0.5000 (multiplicity 1)
Rh1 0.3419 0.5000 0.7324 (multiplicity 2)

=====

# 16
First-principles (PBE) data for crystalline Sc2VW at its relaxed geometry, as listed in Alexandria via LeMat-Bulk.

* energy of formation: 826 meV per atom
* offset from the most stable computed form: 398 meV/atom
* D(E_F): 16.4 states/eV/cell

Cell lengths 7.4189, 7.4189, 5.5674 Å; angles 90.00, 90.00, 90.00 degrees
Space group I-42d (No. 122)
Inequivalent atoms, fractional coordinates:
Sc1 0.2374 0.7500 0.1250 (multiplicity 8)
V1 0.0000 0.0000 0.0000 (multiplicity 4)
W1 0.0000 0.0000 0.5000 (multiplicity 4)

=====

# 17
First-principles (PBE) data for crystalline PrGdCu2 at its relaxed geometry, as listed in Alexandria via LeMat-Bulk.

* energy of formation: -168 meV per atom
* offset from the most stable computed form: 0 meV/atom
* D(E_F): 3.0 states/eV/cell

Cell lengths 3.5591, 3.5591, 7.1420 Å; angles 90.00, 90.00, 90.00 degrees
Space group P4/mmm (No. 123)
Inequivalent atoms, fractional coordinates:
Pr1 0.0000 0.0000 0.0000 (multiplicity 1)
Gd1 0.0000 0.0000 0.5000 (multiplicity 1)
Cu1 0.5000 0.5000 0.2673 (multiplicity 2)

=====

# 18
First-principles (PBE) data for crystalline CdC2N at its relaxed geometry, as listed in Alexandria via LeMat-Bulk.

* offset from the most stable computed form: 0 meV/atom
* D(E_F): 6.7 states/eV/cell
* formation energy (no corrections): 1.869 eV per atom

Cell lengths 4.7516, 4.7516, 7.0246 Å; angles 90.00, 90.00, 90.00 degrees
Space group I-42d (No. 122)
Inequivalent atoms, fractional coordinates:
Cd1 0.0000 0.0000 0.0000 (multiplicity 4)
C1 0.1372 0.2500 0.6250 (multiplicity 8)
N1 0.0000 0.0000 0.5000 (multiplicity 4)

=====

# 19
First-principles (PBE) data for crystalline Si5Cl at its relaxed geometry, as listed in Alexandria via LeMat-Bulk.

* offset from the most stable computed form: 145 meV/atom
* D(E_F): 1.7 states/eV/cell
* formation energy (no corrections): 0.377 eV per atom

Cell lengths 3.3313, 3.3313, 9.2029 Å; angles 90.00, 90.00, 90.00 degrees
Space group P4/mmm (No. 123)
Inequivalent atoms, fractional coordinates:
Si1 0.0000 0.0000 0.0000 (multiplicity 1)
Si2 0.0000 0.0000 0.2688 (multiplicity 2)
Si3 0.5000 0.5000 0.1435 (multiplicity 2)
Cl1 0.5000 0.5000 0.5000 (multiplicity 1)

=====

# 20
First-principles (PBE) data for crystalline MgCrTe2 at its relaxed geometry, as listed in Alexandria via LeMat-Bulk.

* D(E_F): 3.6 states/eV/cell
* formation energy (no corrections): -0.292 eV per atom

Cell lengths 3.9494, 3.9446, 15.1710 Å; angles 90.00, 90.00, 90.00 degrees
Space group Amm2 (No. 38)
Inequivalent atoms, fractional coordinates:
Mg1 0.0000 0.0000 0.0000 (multiplicity 2)
Cr1 0.5000 0.0000 0.6388 (multiplicity 2)
Te1 0.0000 0.0000 0.1887 (multiplicity 2)
Te2 0.5000 0.0000 0.4529 (multiplicity 2)